Entry 1:
# SbPb

A crystal of SbPb relaxed with PBEsol (SCAN, Alexandria).

- D(E_F) (states/eV/cell) = 1.084
- magnetic moment (μB/atom) = 0.00
- raw formation energy (eV/atom) = 0.148

CIF file:
```
data_SbPb
_cell_length_a 3.825
_cell_length_b 3.825
_cell_length_c 3.825
_cell_angle_alpha 90.00
_cell_angle_beta 90.00
_cell_angle_gamma 90.00
_symmetry_space_group_name_H-M 'P 1'
_symmetry_Int_Tables_number 1
loop_
_symmetry_equiv_pos_as_xyz
'x,y,z'
loop_
_atom_site_label
_atom_site_type_symbol
_atom_site_fract_x
_atom_site_fract_y
_atom_site_fract_z
_atom_site_occupancy
Sb1 Sb 0.500 0.500 0.500 1
Pb1 Pb 0.000 0.000 0.000 1
```

Entry 2:
# SbPb4

A crystal of SbPb4 relaxed with PBEsol (SCAN, Alexandria).

- D(E_F) (states/eV/cell) = 2.448
- polymorph energy (0 for the lowest one) (eV per atom) = 0.000
- magnetic moment (μB/atom) = 0.00
- raw formation energy (eV/atom) = 0.061

CIF file:
```
data_SbPb4
_cell_length_a 4.816
_cell_length_b 6.008
_cell_length_c 6.008
_cell_angle_alpha 80.76
_cell_angle_beta 66.37
_cell_angle_gamma 66.37
_symmetry_space_group_name_H-M 'P 1'
_symmetry_Int_Tables_number 1
loop_
_symmetry_equiv_pos_as_xyz
'x,y,z'
loop_
_atom_site_label
_atom_site_type_symbol
_atom_site_fract_x
_atom_site_fract_y
_atom_site_fract_z
_atom_site_occupancy
Pb1 Pb 0.599 0.197 0.604 1
Pb2 Pb 0.796 0.604 0.803 1
Pb3 Pb 0.204 0.396 0.197 1
Pb4 Pb 0.401 0.803 0.396 1
Sb1 Sb 0.000 0.000 0.000 1
```

Entry 3:
# SbPb

A crystal of SbPb relaxed with PBEsol (SCAN, Alexandria).

- D(E_F) (states/eV/cell) = 1.197
- magnetic moment (μB/atom) = 0.00
- raw formation energy (eV/atom) = 0.138

CIF file:
```
data_SbPb
_cell_length_a 3.320
_cell_length_b 3.320
_cell_length_c 5.278
_cell_angle_alpha 90.00
_cell_angle_beta 90.00
_cell_angle_gamma 105.02
_symmetry_space_group_name_H-M 'P 1'
_symmetry_Int_Tables_number 1
loop_
_symmetry_equiv_pos_as_xyz
'x,y,z'
loop_
_atom_site_label
_atom_site_type_symbol
_atom_site_fract_x
_atom_site_fract_y
_atom_site_fract_z
_atom_site_occupancy
Sb1 Sb 0.500 0.500 0.500 1
Pb1 Pb 0.000 0.000 0.000 1
```

Entry 4:
# SbPb

A crystal of SbPb relaxed with PBEsol (SCAN, Alexandria).

- D(E_F) (states/eV/cell) = 1.365
- magnetic moment (μB/atom) = 0.00
- raw formation energy (eV/atom) = 0.058

CIF file:
```
data_SbPb
_cell_length_a 5.060
_cell_length_b 5.060
_cell_length_c 6.612
_cell_angle_alpha 67.50
_cell_angle_beta 67.50
_cell_angle_gamma 60.00
_symmetry_space_group_name_H-M 'P 1'
_symmetry_Int_Tables_number 1
loop_
_symmetry_equiv_pos_as_xyz
'x,y,z'
loop_
_atom_site_label
_atom_site_type_symbol
_atom_site_fract_x
_atom_site_fract_y
_atom_site_fract_z
_atom_site_occupancy
Pb1 Pb 0.891 0.891 0.327 1
Sb1 Sb 0.717 0.717 0.850 1
Sb2 Sb 0.283 0.283 0.150 1
Pb2 Pb 0.109 0.109 0.673 1
```

Entry 5:
# Sc2SbPb

A crystal of Sc2SbPb relaxed with PBEsol (SCAN, Alexandria).

- D(E_F) (states/eV/cell) = 1.831
- polymorph energy (0 for the lowest one) (eV per atom) = 0.042
- magnetic moment (μB/atom) = 0.00
- raw formation energy (eV/atom) = -0.706

CIF file:
```
data_Sc2SbPb
_cell_length_a 4.214
_cell_length_b 4.214
_cell_length_c 5.926
_cell_angle_alpha 110.83
_cell_angle_beta 110.83
_cell_angle_gamma 90.00
_symmetry_space_group_name_H-M 'P 1'
_symmetry_Int_Tables_number 1
loop_
_symmetry_equiv_pos_as_xyz
'x,y,z'
loop_
_atom_site_label
_atom_site_type_symbol
_atom_site_fract_x
_atom_site_fract_y
_atom_site_fract_z
_atom_site_occupancy
Pb1 Pb 0.500 0.500 0.000 1
Sb1 Sb 0.750 0.250 0.500 1
Sc1 Sc 0.000 0.000 0.000 1
Sc2 Sc 0.250 0.750 0.500 1
```

Entry 6:
# Sc2SbPb

A crystal of Sc2SbPb relaxed with PBEsol (SCAN, Alexandria).

- D(E_F) (states/eV/cell) = 2.241
- polymorph energy (0 for the lowest one) (eV per atom) = 0.009
- magnetic moment (μB/atom) = 0.00
- raw formation energy (eV/atom) = -0.740

CIF file:
```
data_Sc2SbPb
_cell_length_a 4.136
_cell_length_b 4.136
_cell_length_c 5.851
_cell_angle_alpha 90.00
_cell_angle_beta 90.00
_cell_angle_gamma 90.00
_symmetry_space_group_name_H-M 'P 1'
_symmetry_Int_Tables_number 1
loop_
_symmetry_equiv_pos_as_xyz
'x,y,z'
loop_
_atom_site_label
_atom_site_type_symbol
_atom_site_fract_x
_atom_site_fract_y
_atom_site_fract_z
_atom_site_occupancy
Sb1 Sb 0.500 0.500 0.500 1
Pb1 Pb 0.000 0.000 0.000 1
Sc1 Sc 0.500 0.500 0.000 1
Sc2 Sc 0.000 0.000 0.500 1
```

Entry 7:
# Sc2SbPb

A crystal of Sc2SbPb relaxed with PBEsol (SCAN, Alexandria).

- D(E_F) (states/eV/cell) = 2.970
- polymorph energy (0 for the lowest one) (eV per atom) = 0.143
- magnetic moment (μB/atom) = 0.23
- raw formation energy (eV/atom) = -0.605

CIF file:
```
data_Sc2SbPb
_cell_length_a 3.755
_cell_length_b 3.755
_cell_length_c 6.569
_cell_angle_alpha 90.00
_cell_angle_beta 90.00
_cell_angle_gamma 90.00
_symmetry_space_group_name_H-M 'P 1'
_symmetry_Int_Tables_number 1
loop_
_symmetry_equiv_pos_as_xyz
'x,y,z'
loop_
_atom_site_label
_atom_site_type_symbol
_atom_site_fract_x
_atom_site_fract_y
_atom_site_fract_z
_atom_site_occupancy
Sb1 Sb 0.500 0.500 0.500 1
Sc1 Sc 0.000 0.000 0.735 1
Sc2 Sc 0.000 0.000 0.265 1
Pb1 Pb 0.500 0.500 0.000 1
```

Entry 8:
# Sc2SbPb

A crystal of Sc2SbPb relaxed with PBEsol (SCAN, Alexandria).

- D(E_F) (states/eV/cell) = 1.690
- polymorph energy (0 for the lowest one) (eV per atom) = 0.000
- magnetic moment (μB/atom) = 0.00
- raw formation energy (eV/atom) = -0.748

CIF file:
```
data_Sc2SbPb
_cell_length_a 3.938
_cell_length_b 3.938
_cell_length_c 7.766
_cell_angle_alpha 75.31
_cell_angle_beta 75.31
_cell_angle_gamma 60.00
_symmetry_space_group_name_H-M 'P 1'
_symmetry_Int_Tables_number 1
loop_
_symmetry_equiv_pos_as_xyz
'x,y,z'
loop_
_atom_site_label
_atom_site_type_symbol
_atom_site_fract_x
_atom_site_fract_y
_atom_site_fract_z
_atom_site_occupancy
Sc1 Sc 0.244 0.244 0.267 1
Sc2 Sc 0.756 0.756 0.733 1
Pb1 Pb 0.000 0.000 0.000 1
Sb1 Sb 0.500 0.500 0.500 1
```

Entry 9:
# ScSbPb2

A crystal of ScSbPb2 relaxed with PBEsol (SCAN, Alexandria).

- D(E_F) (states/eV/cell) = 2.769
- magnetic moment (μB/atom) = 0.00
- raw formation energy (eV/atom) = -0.246

CIF file:
```
data_ScSbPb2
_cell_length_a 3.440
_cell_length_b 3.440
_cell_length_c 8.852
_cell_angle_alpha 90.00
_cell_angle_beta 90.00
_cell_angle_gamma 90.00
_symmetry_space_group_name_H-M 'P 1'
_symmetry_Int_Tables_number 1
loop_
_symmetry_equiv_pos_as_xyz
'x,y,z'
loop_
_atom_site_label
_atom_site_type_symbol
_atom_site_fract_x
_atom_site_fract_y
_atom_site_fract_z
_atom_site_occupancy
Sb1 Sb 0.000 0.000 0.535 1
Pb1 Pb 0.000 0.000 0.974 1
Pb2 Pb 0.500 0.500 0.250 1
Sc1 Sc 0.500 0.500 0.740 1
```

Entry 10:
# ScSbPb2

A crystal of ScSbPb2 relaxed with PBEsol (SCAN, Alexandria).

- D(E_F) (states/eV/cell) = 2.433
- magnetic moment (μB/atom) = 0.00
- raw formation energy (eV/atom) = -0.257

CIF file:
```
data_ScSbPb2
_cell_length_a 4.397
_cell_length_b 4.397
_cell_length_c 6.204
_cell_angle_alpha 110.75
_cell_angle_beta 110.75
_cell_angle_gamma 90.00
_symmetry_space_group_name_H-M 'P 1'
_symmetry_Int_Tables_number 1
loop_
_symmetry_equiv_pos_as_xyz
'x,y,z'
loop_
_atom_site_label
_atom_site_type_symbol
_atom_site_fract_x
_atom_site_fract_y
_atom_site_fract_z
_atom_site_occupancy
Sb1 Sb 0.500 0.500 0.000 1
Pb1 Pb 0.250 0.750 0.500 1
Pb2 Pb 0.750 0.250 0.500 1
Sc1 Sc 0.000 0.000 0.000 1
```

Entry 11:
# ScSbPb2

A crystal of ScSbPb2 relaxed with PBEsol (SCAN, Alexandria).

- D(E_F) (states/eV/cell) = 3.906
- magnetic moment (μB/atom) = 0.00
- raw formation energy (eV/atom) = -0.041

CIF file:
```
data_ScSbPb2
_cell_length_a 3.391
_cell_length_b 3.391
_cell_length_c 9.002
_cell_angle_alpha 90.00
_cell_angle_beta 90.00
_cell_angle_gamma 90.00
_symmetry_space_group_name_H-M 'P 1'
_symmetry_Int_Tables_number 1
loop_
_symmetry_equiv_pos_as_xyz
'x,y,z'
loop_
_atom_site_label
_atom_site_type_symbol
_atom_site_fract_x
_atom_site_fract_y
_atom_site_fract_z
_atom_site_occupancy
Sc1 Sc 0.500 0.500 0.500 1
Sb1 Sb 0.500 0.500 0.000 1
Pb1 Pb 0.000 0.000 0.730 1
Pb2 Pb 0.000 0.000 0.270 1
```

Entry 12:
# Sc2SbPb

A crystal of Sc2SbPb relaxed with PBEsol (SCAN, Alexandria).

- D(E_F) (states/eV/cell) = 2.995
- polymorph energy (0 for the lowest one) (eV per atom) = 0.117
- magnetic moment (μB/atom) = 0.00
- raw formation energy (eV/atom) = -0.632

CIF file:
```
data_Sc2SbPb
_cell_length_a 4.047
_cell_length_b 4.270
_cell_length_c 5.390
_cell_angle_alpha 90.00
_cell_angle_beta 90.00
_cell_angle_gamma 90.00
_symmetry_space_group_name_H-M 'P 1'
_symmetry_Int_Tables_number 1
loop_
_symmetry_equiv_pos_as_xyz
'x,y,z'
loop_
_atom_site_label
_atom_site_type_symbol
_atom_site_fract_x
_atom_site_fract_y
_atom_site_fract_z
_atom_site_occupancy
Sb1 Sb 0.500 0.000 0.500 1
Pb1 Pb 0.500 0.500 0.000 1
Sc1 Sc 0.000 0.000 0.000 1
Sc2 Sc 0.000 0.500 0.500 1
```